No. 1
# Ca2HPdAu, optimized geometry, DFT PBE-GGA
data_Ca2HPdAu
_chemical_formula_sum 'Ca2 H1 Pd1 Au1'
_space_group_name_H-M_alt 'P 4/m m m'
_space_group_IT_number 123
_space_group_name_Hall '-P 4 2'
_cell_length_a 5.114
_cell_length_b 5.114
_cell_length_c 3.633
_cell_angle_alpha 90.00
_cell_angle_beta 90.00
_cell_angle_gamma 90.00
loop_
_atom_site_label
_atom_site_fract_x
_atom_site_fract_y
_atom_site_fract_z
Ca1 0.000 0.500 0.000
H1 0.000 0.000 0.000
Pd1 0.000 0.000 0.500
Au1 0.500 0.500 0.500
# Volume: 19.00 Å³/atom
# E_tot: -3.844 eV/atom

No. 2
# Ce2Se3O, optimized geometry, DFT PBE-GGA
data_Ce2Se3O
_chemical_formula_sum 'Ce8 Se12 O4'
_space_group_name_H-M_alt 'I b a m'
_space_group_IT_number 72
_space_group_name_Hall '-I 2 2c'
_cell_length_a 6.258
_cell_length_b 13.412
_cell_length_c 7.504
_cell_angle_alpha 90.00
_cell_angle_beta 90.00
_cell_angle_gamma 90.00
loop_
_atom_site_label
_atom_site_fract_x
_atom_site_fract_y
_atom_site_fract_z
Ce1 0.231 0.115 0.000
Se1 0.000 0.245 0.250
Se2 0.000 0.500 0.250
O1 0.000 0.000 0.000
# Formation energy without anion corrections: -1975 meV/atom
# Volume: 26.24 Å³/atom
# E_tot: -6.522 eV/atom